The following is a PBE+U calculation of a geometry-optimized VOs3O structure, from Alexandria.

Cell lengths 4.082, 4.082, 4.082 Å; angles 90.00, 90.00, 90.00 degrees
Last column: magnetic moment on the atom in μB.
Atoms (fractional coordinates):
1 Os 0.000 0.500 0.000  -0.24
2 Os 0.000 0.000 0.500  -0.24
3 Os 0.500 0.000 0.000  -0.24
4 O 0.000 0.000 0.000  0.00
5 V 0.500 0.500 0.500  1.91

Computed properties:
* relative energy among the computed polymorphs: 0 kJ/mol of formula units
* space-group type: Pm-3m (221)
* crystal system: cubic